Record 1
# PBE Th6Rh2AuC3, relaxed
data_Th6Rh2AuC3
_cell_length_a 17.986
_cell_length_b 3.766
_cell_length_c 8.346
_cell_angle_alpha 90.00
_cell_angle_beta 111.57
_cell_angle_gamma 90.00
_space_group_name_H-M_alt 'C 1 2/m 1'
_space_group_IT_number 12
loop_
_space_group_symop_operation_xyz
'x,y,z'
'-x,-y,-z'
'-x,y,-z'
'x,-y,z'
'x+1/2,y+1/2,z'
'-x+1/2,-y+1/2,-z'
'-x+1/2,y+1/2,-z'
'x+1/2,-y+1/2,z'
loop_
_atom_site_label
_atom_site_fract_x
_atom_site_fract_y
_atom_site_fract_z
Th1 0.004 0.000 0.218
Th2 0.155 0.500 0.110
Th3 0.180 0.500 0.576
Rh1 0.180 0.000 0.858
Au1 0.000 0.500 0.500
C1 0.000 0.500 0.000
C2 0.165 0.000 0.344
# * energy of formation: -521 kJ/mol of formula units

***

Record 2
# PBE SnBPd2Pt, relaxed
data_SnBPd2Pt
_cell_length_a 5.097
_cell_length_b 5.097
_cell_length_c 3.884
_cell_angle_alpha 90.00
_cell_angle_beta 90.00
_cell_angle_gamma 90.00
_space_group_name_H-M_alt 'P 4/m m m'
_space_group_IT_number 123
_space_group_name_Hall '-P 4 2'
loop_
_atom_site_label
_atom_site_fract_x
_atom_site_fract_y
_atom_site_fract_z
Sn1 0.000 0.000 0.000
B1 0.500 0.500 0.000
Pd1 0.000 0.500 0.500
Pt1 0.500 0.500 0.500
# * energy of formation: 263 kJ/mol of formula units

***

Record 3
# PBE Ac2Mn2Se2S3, relaxed
data_Ac2Mn2Se2S3
_cell_length_a 4.760
_cell_length_b 4.760
_cell_length_c 19.952
_cell_angle_alpha 90.00
_cell_angle_beta 90.00
_cell_angle_gamma 90.00
_space_group_name_H-M_alt 'I 4/m m m'
_space_group_IT_number 139
_space_group_name_Hall '-I 4 2'
loop_
_atom_site_label
_atom_site_fract_x
_atom_site_fract_y
_atom_site_fract_z
Ac1 0.000 0.000 0.169
Mn1 0.000 0.500 0.000
Se1 0.000 0.000 0.412
S1 0.000 0.000 0.000
S2 0.000 0.500 0.250
# * formation energy (no corrections): -1070 kJ/mol of formula units

***

Record 4
# PBE TmAgRhPb, relaxed
data_TmAgRhPb
_cell_length_a 6.886
_cell_length_b 6.886
_cell_length_c 6.886
_cell_angle_alpha 90.00
_cell_angle_beta 90.00
_cell_angle_gamma 90.00
_space_group_name_H-M_alt 'F -4 3 m'
_space_group_IT_number 216
_space_group_name_Hall 'F -4 2 3'
loop_
_atom_site_label
_atom_site_fract_x
_atom_site_fract_y
_atom_site_fract_z
Tm1 0.000 0.000 0.000
Ag1 0.250 0.250 0.750
Rh1 0.250 0.250 0.250
Pb1 0.000 0.000 0.500
# * energy of formation: -134 kJ/mol of formula units

***

Record 5
# PBE Mn2ZnOs, relaxed
data_Mn2ZnOs
_cell_length_a 4.596
_cell_length_b 2.636
_cell_length_c 4.608
_cell_angle_alpha 90.00
_cell_angle_beta 110.05
_cell_angle_gamma 90.00
_space_group_name_H-M_alt 'P 1 2/m 1'
_space_group_IT_number 10
loop_
_space_group_symop_operation_xyz
'x,y,z'
'-x,-y,-z'
'-x,y,-z'
'x,-y,z'
loop_
_atom_site_label
_atom_site_fract_x
_atom_site_fract_y
_atom_site_fract_z
Mn1 0.000 0.000 0.000
Mn2 0.500 0.500 0.000
Zn1 0.000 0.500 0.500
Os1 0.500 0.000 0.500
# * energy of formation: 93 kJ/mol of formula units

***

Record 6
# PBE Rb2NaSc3F12, relaxed
data_Rb2NaSc3F12
_cell_length_a 7.8640
_cell_length_b 7.8640
_cell_length_c 18.5195
_cell_angle_alpha 90.00
_cell_angle_beta 90.00
_cell_angle_gamma 120.00
_space_group_name_H-M_alt 'R -3 m'
_space_group_IT_number 166
_space_group_name_Hall '-R 3 2"'
loop_
_atom_site_label
_atom_site_fract_x
_atom_site_fract_y
_atom_site_fract_z
Rb1 0.0000 0.0000 0.1394
Na1 0.0000 0.0000 0.5000
Sc1 0.0000 0.5000 0.0000
F1 0.0180 0.5090 0.1070
F2 0.0826 0.5413 0.3393
# * formation energy (no corrections): -6234 kJ/mol of formula units

***

Record 7
# PBE CuSb3S, relaxed
data_CuSb3S
_cell_length_a 5.046
_cell_length_b 5.046
_cell_length_c 5.046
_cell_angle_alpha 90.00
_cell_angle_beta 90.00
_cell_angle_gamma 90.00
_space_group_name_H-M_alt 'P m -3 m'
_space_group_IT_number 221
_space_group_name_Hall '-P 4 2 3'
loop_
_atom_site_label
_atom_site_fract_x
_atom_site_fract_y
_atom_site_fract_z
Cu1 0.000 0.000 0.000
Sb1 0.000 0.000 0.500
S1 0.500 0.500 0.500
# * formation energy (no corrections): 310 kJ/mol of formula units

***

Record 8
# PBE Li3Mg6Ag, relaxed
data_Li3Mg6Ag
_cell_length_a 8.476
_cell_length_b 4.777
_cell_length_c 10.283
_cell_angle_alpha 90.00
_cell_angle_beta 104.69
_cell_angle_gamma 90.00
_space_group_name_H-M_alt 'P 1 21/m 1'
_space_group_IT_number 11
loop_
_space_group_symop_operation_xyz
'x,y,z'
'-x,-y,-z'
'-x,y+1/2,-z'
'x,-y+1/2,z'
loop_
_atom_site_label
_atom_site_fract_x
_atom_site_fract_y
_atom_site_fract_z
Li1 0.051 0.250 0.401
Li2 0.153 0.750 0.201
Li3 0.253 0.250 0.996
Mg1 0.039 0.750 0.900
Mg2 0.135 0.250 0.692
Mg3 0.264 0.750 0.494
Mg4 0.347 0.750 0.797
Mg5 0.354 0.250 0.314
Mg6 0.440 0.750 0.101
Ag1 0.440 0.250 0.615
# * energy of formation: -86 kJ/mol of formula units

***

Record 9
# PBE HfMgN2, relaxed
data_HfMgN2
_cell_length_a 4.859
_cell_length_b 4.859
_cell_length_c 9.687
_cell_angle_alpha 90.00
_cell_angle_beta 90.00
_cell_angle_gamma 90.00
_space_group_name_H-M_alt 'I -4 2 d'
_space_group_IT_number 122
_space_group_name_Hall 'I -4 2bw'
loop_
_atom_site_label
_atom_site_fract_x
_atom_site_fract_y
_atom_site_fract_z
Hf1 0.000 0.000 0.000
Mg1 0.000 0.000 0.500
N1 0.236 0.250 0.125
# * formation energy (no corrections): -496 kJ/mol of formula units

***

Record 10
# PBE Y2HgOs2, relaxed
data_Y2HgOs2
_cell_length_a 5.456
_cell_length_b 5.456
_cell_length_c 8.058
_cell_angle_alpha 90.00
_cell_angle_beta 90.00
_cell_angle_gamma 90.00
_space_group_name_H-M_alt 'I 4/m m m'
_space_group_IT_number 139
_space_group_name_Hall '-I 4 2'
loop_
_atom_site_label
_atom_site_fract_x
_atom_site_fract_y
_atom_site_fract_z
Y1 0.000 0.500 0.250
Hg1 0.000 0.000 0.000
Os1 0.000 0.000 0.351
# * energy of formation: 138 kJ/mol of formula units

***

Record 11
# PBE CaSbCl6, relaxed
data_CaSbCl6
_cell_length_a 6.6469
_cell_length_b 6.6469
_cell_length_c 18.1589
_cell_angle_alpha 90.00
_cell_angle_beta 90.00
_cell_angle_gamma 120.00
_space_group_name_H-M_alt 'R -3'
_space_group_IT_number 148
_space_group_name_Hall '-R 3'
loop_
_atom_site_label
_atom_site_fract_x
_atom_site_fract_y
_atom_site_fract_z
Ca1 0.0000 0.0000 0.0000
Sb1 0.0000 0.0000 0.5000
Cl1 0.0047 0.6875 0.4198
# * formation energy (no corrections): -985 kJ/mol of formula units

***

Record 12
# PBE Y2MnSi, relaxed
data_Y2MnSi
_cell_length_a 4.144
_cell_length_b 4.004
_cell_length_c 10.937
_cell_angle_alpha 90.00
_cell_angle_beta 90.00
_cell_angle_gamma 90.00
_space_group_name_H-M_alt 'A m m 2'
_space_group_IT_number 38
loop_
_space_group_symop_operation_xyz
'x,y,z'
'-x,-y,z'
'-x,y,z'
'x,-y,z'
'x,y+1/2,z+1/2'
'-x,-y+1/2,z+1/2'
'-x,y+1/2,z+1/2'
'x,-y+1/2,z+1/2'
loop_
_atom_site_label
_atom_site_fract_x
_atom_site_fract_y
_atom_site_fract_z
Y1 0.000 0.000 0.000
Y2 0.500 0.000 0.287
Mn1 0.500 0.000 0.579
Si1 0.000 0.000 0.710
# * formation energy (no corrections): -150 kJ/mol of formula units

***

Record 13
# PBE LiAsPb, relaxed
data_LiAsPb
_cell_length_a 6.324
_cell_length_b 6.340
_cell_length_c 13.524
_cell_angle_alpha 90.00
_cell_angle_beta 90.00
_cell_angle_gamma 90.00
_space_group_name_H-M_alt 'F m m m'
_space_group_IT_number 69
_space_group_name_Hall '-F 2 2'
loop_
_atom_site_label
_atom_site_fract_x
_atom_site_fract_y
_atom_site_fract_z
Li1 0.250 0.250 0.000
As1 0.000 0.000 0.122
Pb1 0.000 0.000 0.335
# * energy of formation: -81 kJ/mol of formula units

***

Record 14
# PBE LaZr2Rh2, relaxed
data_LaZr2Rh2
_cell_length_a 8.160
_cell_length_b 8.160
_cell_length_c 3.081
_cell_angle_alpha 90.00
_cell_angle_beta 90.00
_cell_angle_gamma 90.00
_space_group_name_H-M_alt 'P 4/m b m'
_space_group_IT_number 127
_space_group_name_Hall '-P 4 2ab'
loop_
_atom_site_label
_atom_site_fract_x
_atom_site_fract_y
_atom_site_fract_z
La1 0.000 0.000 0.000
Zr1 0.144 0.356 0.000
Rh1 0.146 0.646 0.500
# * energy of formation: -236 kJ/mol of formula units

***

Record 15
# PBE LaIrRu, relaxed
data_LaIrRu
_cell_length_a 8.823
_cell_length_b 5.649
_cell_length_c 5.056
_cell_angle_alpha 90.00
_cell_angle_beta 107.48
_cell_angle_gamma 90.00
_space_group_name_H-M_alt 'C 1 2/m 1'
_space_group_IT_number 12
loop_
_space_group_symop_operation_xyz
'x,y,z'
'-x,-y,-z'
'-x,y,-z'
'x,-y,z'
'x+1/2,y+1/2,z'
'-x+1/2,-y+1/2,-z'
'-x+1/2,y+1/2,-z'
'x+1/2,-y+1/2,z'
loop_
_atom_site_label
_atom_site_fract_x
_atom_site_fract_y
_atom_site_fract_z
La1 0.130 0.000 0.363
Ir1 0.250 0.250 0.000
Ru1 0.006 0.500 0.265
# * energy of formation: -41 kJ/mol of formula units

***

Record 16
# PBE Tb7PmTm12, relaxed
data_Tb7PmTm12
_cell_length_a 12.7164
_cell_length_b 12.7164
_cell_length_c 13.4732
_cell_angle_alpha 90.00
_cell_angle_beta 90.00
_cell_angle_gamma 120.00
_space_group_name_H-M_alt 'R -3'
_space_group_IT_number 148
_space_group_name_Hall '-R 3'
loop_
_atom_site_label
_atom_site_fract_x
_atom_site_fract_y
_atom_site_fract_z
Tb1 0.0000 0.0000 0.0000
Tb2 0.0684 0.2018 0.3489
Pm1 0.0000 0.0000 0.5000
Tm1 0.0037 0.5667 0.7480
Tm2 0.0683 0.8678 0.8473
# * energy of formation: 596 kJ/mol of formula units

***

Record 17
# PBE Er5Pd2Rh, relaxed
data_Er5Pd2Rh
_cell_length_a 7.584
_cell_length_b 11.812
_cell_length_c 4.310
_cell_angle_alpha 90.00
_cell_angle_beta 90.00
_cell_angle_gamma 90.00
_space_group_name_H-M_alt 'P b a m'
_space_group_IT_number 55
loop_
_space_group_symop_operation_xyz
'x,y,z'
'-x,-y,-z'
'-x,-y,z'
'x,y,-z'
'x+1/2,-y+1/2,-z'
'-x+1/2,y+1/2,z'
'-x+1/2,y+1/2,-z'
'x+1/2,-y+1/2,z'
loop_
_atom_site_label
_atom_site_fract_x
_atom_site_fract_y
_atom_site_fract_z
Er1 0.000 0.000 0.000
Er2 0.159 0.295 0.000
Er3 0.179 0.588 0.500
Pd1 0.051 0.831 0.500
Rh1 0.000 0.500 0.000
# * energy of formation: -560 kJ/mol of formula units

***

Record 18
# PBE LaTa2Ag, relaxed
data_LaTa2Ag
_cell_length_a 3.069
_cell_length_b 5.418
_cell_length_c 5.327
_cell_angle_alpha 90.00
_cell_angle_beta 96.27
_cell_angle_gamma 90.00
_space_group_name_H-M_alt 'P 1 2/m 1'
_space_group_IT_number 10
loop_
_space_group_symop_operation_xyz
'x,y,z'
'-x,-y,-z'
'-x,y,-z'
'x,-y,z'
loop_
_atom_site_label
_atom_site_fract_x
_atom_site_fract_y
_atom_site_fract_z
La1 0.000 0.000 0.000
Ta1 0.353 0.500 0.739
Ag1 0.500 0.000 0.500
# * energy of formation: 208 kJ/mol of formula units

***

Record 19
# PBE AsPtPb, relaxed
data_AsPtPb
_cell_length_a 6.469
_cell_length_b 6.469
_cell_length_c 6.469
_cell_angle_alpha 90.00
_cell_angle_beta 90.00
_cell_angle_gamma 90.00
_space_group_name_H-M_alt 'P 21 3'
_space_group_IT_number 198
_space_group_name_Hall 'P 2ac 2ab 3'
loop_
_atom_site_label
_atom_site_fract_x
_atom_site_fract_y
_atom_site_fract_z
As1 0.122 0.122 0.122
Pt1 0.035 0.965 0.465
Pb1 0.134 0.366 0.634
# * energy of formation: -77 kJ/mol of formula units

***

Record 20
# PBE Sm12YEr3, relaxed
data_Sm12YEr3
_cell_length_a 5.097
_cell_length_b 5.097
_cell_length_c 20.346
_cell_angle_alpha 90.00
_cell_angle_beta 90.00
_cell_angle_gamma 90.00
_space_group_name_H-M_alt 'P 4/m m m'
_space_group_IT_number 123
_space_group_name_Hall '-P 4 2'
loop_
_atom_site_label
_atom_site_fract_x
_atom_site_fract_y
_atom_site_fract_z
Sm1 0.000 0.000 0.000
Sm2 0.000 0.000 0.249
Sm3 0.000 0.000 0.500
Sm4 0.000 0.500 0.125
Sm5 0.000 0.500 0.374
Y1 0.500 0.500 0.500
Er1 0.500 0.500 0.000
Er2 0.500 0.500 0.250
# * energy of formation: 26 kJ/mol of formula units

***

Record 21
# PBE Li2NiCl6, relaxed
data_Li2NiCl6
_cell_length_a 6.186
_cell_length_b 6.105
_cell_length_c 11.913
_cell_angle_alpha 90.00
_cell_angle_beta 121.27
_cell_angle_gamma 90.00
_space_group_name_H-M_alt 'P 1 21/c 1'
_space_group_IT_number 14
loop_
_space_group_symop_operation_xyz
'x,y,z'
'-x,-y,-z'
'-x,y+1/2,-z+1/2'
'x,-y+1/2,z+1/2'
loop_
_atom_site_label
_atom_site_fract_x
_atom_site_fract_y
_atom_site_fract_z
Li1 0.176 0.001 0.176
Ni1 0.500 0.000 0.000
Cl1 0.185 0.205 0.843
Cl2 0.208 0.716 0.500
Cl3 0.497 0.207 0.156
# * formation energy (no corrections): -851 kJ/mol of formula units

***

Record 22
# PBE Na2SnPb4, relaxed
data_Na2SnPb4
_cell_length_a 6.485
_cell_length_b 11.283
_cell_length_c 11.446
_cell_angle_alpha 90.00
_cell_angle_beta 90.00
_cell_angle_gamma 90.00
_space_group_name_H-M_alt 'F m m m'
_space_group_IT_number 69
_space_group_name_Hall '-F 2 2'
loop_
_atom_site_label
_atom_site_fract_x
_atom_site_fract_y
_atom_site_fract_z
Na1 0.250 0.250 0.250
Sn1 0.000 0.000 0.000
Pb1 0.000 0.000 0.293
Pb2 0.000 0.202 0.500
# * energy of formation: -6 kJ/mol of formula units

***

Record 23
# PBE Nb3ReSi, relaxed
data_Nb3ReSi
_cell_length_a 4.833
_cell_length_b 4.833
_cell_length_c 4.833
_cell_angle_alpha 90.00
_cell_angle_beta 90.00
_cell_angle_gamma 90.00
_space_group_name_H-M_alt 'P m -3 m'
_space_group_IT_number 221
_space_group_name_Hall '-P 4 2 3'
loop_
_atom_site_label
_atom_site_fract_x
_atom_site_fract_y
_atom_site_fract_z
Nb1 0.000 0.000 0.500
Re1 0.000 0.000 0.000
Si1 0.500 0.500 0.500
# * formation energy (no corrections): 595 kJ/mol of formula units